Record 1
The following is a DFT calculation (GGA-PBE) of a relaxed structure of Th2Zn3Co2.

Cell and atoms, written as extended XYZ:
```
7
Lattice="4.698 -2.148 0.000 4.698 2.148 0.000 -1.378 0.000 6.383" Properties=species:S:1:pos:R:3 pbc="T T T"
Th 0.642 0.000 2.259
Th 7.375 0.000 4.125
Zn 0.734 0.000 5.644
Zn 4.698 0.000 0.000
Zn 7.284 0.000 0.739
Co 3.253 0.000 2.066
Co 4.764 0.000 4.317
```

Computed properties:
The calculation puts the formation energy at -0.229 eV/atom. As for the space group: C2/m.

---

Record 2
The following is a DFT calculation (GGA-PBE) of a relaxed structure of Th3Zn2Co3.

Cell and atoms, written as extended XYZ:
```
16
Lattice="8.051 0.000 0.000 -4.026 6.973 0.000 0.000 0.000 5.485" Properties=species:S:1:pos:R:3 pbc="T T T"
Th -1.117 1.935 1.371
Th -2.908 5.038 4.114
Th 2.234 0.000 1.371
Th 1.117 1.935 4.114
Th 5.817 0.000 4.114
Th 2.908 5.038 1.371
Zn 0.000 4.648 0.000
Zn 0.000 4.648 2.743
Zn 4.026 2.324 0.000
Zn 4.026 2.324 2.743
Co -1.582 2.740 4.114
Co -2.444 4.232 1.371
Co 3.164 0.000 4.114
Co 1.582 2.740 1.371
Co 4.887 0.000 1.371
Co 2.444 4.232 4.114
```

Computed properties:
The calculation puts the formation energy at -0.237 eV/atom. As for the space group: P6_3/mcm.